# 1
Computed, not measured: TlVAuCl6 after structural relaxation at the PBE level of DFT.

Cell and atoms, written as POSCAR:
```
TlVAuCl6
1.0
8.474 -0.108 2.576
4.010 5.945 0.900
2.376 -0.613 6.483
Cl Tl Au V
6 1 1 1
Direct
0.586 0.324 0.513 Cl
0.374 0.996 0.667 Cl
0.031 0.525 0.850 Cl
0.584 0.142 0.114 Cl
0.291 0.693 0.319 Cl
0.072 0.372 0.409 Cl
0.002 0.884 0.118 Tl
0.726 0.692 0.541 Au
0.335 0.373 0.469 V
```

Values from the calculation:
V: 32.35 Å³ per atom
Formation energy (no corrections): -0.88 eV/atom
Calculated density: 3.793 g/cm3
Total magnetization: 1.0 μB/f.u.
Space-group type: P1 (1)

---

# 2
Computed, not measured: UAu2Cl8 after structural relaxation at the PBE level of DFT.

Cell and atoms, written as POSCAR:
```
UAu2Cl8
1.0
6.633 0.000 2.914
-1.288 6.598 2.931
0.010 0.460 8.982
Cl U Au
8 1 2
Direct
0.090 0.410 0.820 Cl
0.339 0.970 0.804 Cl
0.622 0.536 0.756 Cl
0.858 0.970 0.804 Cl
0.661 0.030 0.196 Cl
0.142 0.030 0.196 Cl
0.910 0.590 0.180 Cl
0.378 0.464 0.244 Cl
0.000 0.000 0.000 U
0.234 0.428 0.532 Au
0.766 0.572 0.468 Au
```

Values from the calculation:
V: 34.75 Å³ per atom
Formation energy (no corrections): -0.92 eV/atom
Calculated density: 3.978 g/cm3
Total magnetization: 0.1 μB/f.u.
Space-group type: C2/m (12)